1.
The following is a PBE calculation of a geometry-optimized La2CdAu2 structure, from the Alexandria database.

Summary:
* calculated formation energy: -0.518 eV per atom

a = 5.789 Å, b = 5.789 Å, c = 8.861 Å
α = 90.00°, β = 90.00°, γ = 90.00°
Space group I4/mmm (No. 139)
Asymmetric unit:
La1 0.000 0.500 0.250 [4 per cell]
Cd1 0.000 0.000 0.000 [2 per cell]
Au1 0.000 0.000 0.352 [4 per cell]

---

2.
The following is a PBE calculation of a geometry-optimized UGa3Cu structure, from the Alexandria database.

Summary:
* calculated formation energy: -0.146 eV per atom

a = 11.231 Å, b = 4.163 Å, c = 4.163 Å
α = 90.00°, β = 111.74°, γ = 90.00°
Space group Cm (No. 8)
Asymmetric unit:
U1 0.000 0.000 0.000 [2 per cell]
Ga1 0.093 0.500 0.594 [2 per cell]
Ga2 0.249 0.000 0.748 [2 per cell]
Ga3 0.249 0.500 0.249 [2 per cell]
Cu1 0.369 0.000 0.368 [2 per cell]

---

3.
The following is a PBE calculation of a geometry-optimized La2SmCoAu structure, from the Alexandria database.

Summary:
* calculated formation energy: -0.207 eV per atom

a = 5.207 Å, b = 5.207 Å, c = 5.459 Å
α = 90.00°, β = 90.00°, γ = 90.00°
Space group P4mm (No. 99)
Asymmetric unit:
La1 0.000 0.500 0.000 [2 per cell]
Sm1 0.000 0.000 0.523 [1 per cell]
Co1 0.000 0.000 0.032 [1 per cell]
Au1 0.500 0.500 0.626 [1 per cell]

---

4.
The following is a PBE calculation of a geometry-optimized Pm4Y3Pu structure, from the Alexandria database.

Summary:
* calculated formation energy: 0.149 eV per atom

a = 3.482 Å, b = 11.692 Å, c = 12.954 Å
α = 90.00°, β = 90.00°, γ = 90.00°
Space group Immm (No. 71)
Asymmetric unit:
Pm1 0.000 0.248 0.131 [8 per cell]
Y1 0.000 0.000 0.500 [2 per cell]
Y2 0.000 0.500 0.265 [4 per cell]
Pu1 0.000 0.000 0.000 [2 per cell]

---

5.
The following is a PBE calculation of a geometry-optimized Cr2CoNi structure, from the Alexandria database.

Summary:
* calculated formation energy: 0.144 eV per atom
* relative energy among the computed polymorphs: 115.5 meV per atom

a = 2.4875 Å, b = 2.4875 Å, c = 25.0662 Å
α = 90.00°, β = 90.00°, γ = 120.00°
Space group R3m (No. 160, hexagonal axes)
Asymmetric unit:
Cr1 0.0000 0.0000 0.0000 [3 per cell]
Cr2 0.0000 0.0000 0.2446 [3 per cell]
Co1 0.0000 0.0000 0.4989 [3 per cell]
Ni1 0.0000 0.0000 0.7486 [3 per cell]

---

6.
The following is a PBE calculation of a geometry-optimized HgTe3 structure, from the Alexandria database.

a = 8.864 Å, b = 14.754 Å, c = 4.301 Å
α = 90.00°, β = 90.00°, γ = 90.00°
Space group Cmcm (No. 63)
Asymmetric unit:
Hg1 0.000 0.064 0.250 [4 per cell]
Te1 0.000 0.425 0.250 [4 per cell]
Te2 0.214 0.316 0.750 [8 per cell]

---

7.
The following is a PBE calculation of a geometry-optimized Ti2HAu2 structure, from the Alexandria database.

a = 5.573 Å, b = 5.573 Å, c = 4.778 Å
α = 90.00°, β = 90.00°, γ = 90.00°
Space group P4/mbm (No. 127)
Asymmetric unit:
Ti1 0.161 0.339 0.000 [4 per cell]
H1 0.000 0.000 0.000 [2 per cell]
Au1 0.171 0.671 0.500 [4 per cell]

---

8.
The following is a PBE calculation of a geometry-optimized LaGaS2 structure, from the Alexandria database.

a = 6.552 Å, b = 6.552 Å, c = 13.188 Å
α = 90.00°, β = 90.00°, γ = 90.00°
Space group I-42d (No. 122)
Asymmetric unit:
La1 0.000 0.000 0.000 [4 per cell]
Ga1 0.000 0.000 0.500 [4 per cell]
S1 0.227 0.250 0.125 [8 per cell]

---

9.
The following is a PBE calculation of a geometry-optimized TbHo8Sc3 structure, from the Alexandria database.

Summary:
* calculated formation energy: 0.705 eV per atom

a = 7.471 Å, b = 7.471 Å, c = 15.065 Å
α = 90.00°, β = 90.00°, γ = 90.00°
Space group I4/mmm (No. 139)
Asymmetric unit:
Tb1 0.000 0.000 0.000 [2 per cell]
Ho1 0.246 0.246 0.372 [16 per cell]
Sc1 0.000 0.000 0.500 [2 per cell]
Sc2 0.000 0.500 0.250 [4 per cell]

---

10.
The following is a PBE calculation of a geometry-optimized Ce4InSn3 structure, from the Alexandria database.

Summary:
* calculated formation energy: -0.533 eV per atom
* relative energy among the computed polymorphs: 0.0 meV per atom

a = 3.453 Å, b = 3.453 Å, c = 18.342 Å
α = 90.00°, β = 90.00°, γ = 90.00°
Space group P4/mmm (No. 123)
Asymmetric unit:
Ce1 0.000 0.000 0.125 [2 per cell]
Ce2 0.000 0.000 0.373 [2 per cell]
In1 0.500 0.500 0.500 [1 per cell]
Sn1 0.500 0.500 0.000 [1 per cell]
Sn2 0.500 0.500 0.249 [2 per cell]

---

11.
The following is a PBE calculation of a geometry-optimized YbCe3 structure, from the Alexandria database.

Summary:
* calculated formation energy: 0.144 eV per atom
* relative energy among the computed polymorphs: 0.0 meV per atom

a = 4.893 Å, b = 4.893 Å, c = 4.893 Å
α = 90.00°, β = 90.00°, γ = 90.00°
Space group Pm-3m (No. 221)
Asymmetric unit:
Yb1 0.000 0.000 0.000 [1 per cell]
Ce1 0.000 0.500 0.500 [3 per cell]

---

12.
The following is a PBE calculation of a geometry-optimized Pm2HgTe4 structure, from the Alexandria database.

a = 7.370 Å, b = 7.996 Å, c = 8.435 Å
α = 90.00°, β = 106.58°, γ = 90.00°
Space group P2_1/m (No. 11)
Asymmetric unit:
Pm1 0.179 0.250 0.039 [2 per cell]
Pm2 0.233 0.250 0.561 [2 per cell]
Hg1 0.254 0.750 0.316 [2 per cell]
Te1 0.024 0.516 0.748 [4 per cell]
Te2 0.470 0.750 0.092 [2 per cell]
Te3 0.480 0.750 0.646 [2 per cell]

---

Computed M_tot, in the same sequence as the records: 0.0 2.7 0.0 6.4 0.7 0.0 0.0 0.0 0.0 3.6 2.4 0.0 μB/f.u..
Computed calculated total energy, in the same sequence as the records: -39.8 -50.4 -26.0 -103.1 -94.7 -37.3 -52.8 -82.9 -103.6 -42.7 -18.8 -57.4 eV per cell.